(1)
Density functional theory data (PBE) for Ce2TcGe3Ir4 after structural relaxation.

Properties
E (eV for the cell shown): -78.103
ΔE_f (kJ per mole of atoms): -63

Geometry as CIF:
```
data_Ce2TcGe3Ir4
_symmetry_space_group_name_H-M 'P -4 m 2'
_symmetry_Int_Tables_number 115
_symmetry_space_group_name_Hall 'P -4 -2'
_cell_length_a 4.199
_cell_length_b 4.199
_cell_length_c 10.454
_cell_angle_alpha 90.00
_cell_angle_beta 90.00
_cell_angle_gamma 90.00
loop_
_atom_site_label
_atom_site_type_symbol
_atom_site_fract_x
_atom_site_fract_y
_atom_site_fract_z
Ce1 Ce 0.000 0.500 0.246
Tc1 Tc 0.000 0.000 0.500
Ge1 Ge 0.000 0.500 0.868
Ge2 Ge 0.500 0.500 0.500
Ir1 Ir 0.000 0.000 0.000
Ir2 Ir 0.000 0.500 0.633
Ir3 Ir 0.500 0.500 0.000
```

(2)
Density functional theory data (PBE) for CeTh2Ge3Ir4 after structural relaxation.

Properties
E (eV for the cell shown): -77.957
ΔE_f (kJ per mole of atoms): -76

Geometry as CIF:
```
data_CeTh2Ge3Ir4
_symmetry_space_group_name_H-M 'P -4 m 2'
_symmetry_Int_Tables_number 115
_symmetry_space_group_name_Hall 'P -4 -2'
_cell_length_a 4.224
_cell_length_b 4.224
_cell_length_c 11.277
_cell_angle_alpha 90.00
_cell_angle_beta 90.00
_cell_angle_gamma 90.00
loop_
_atom_site_label
_atom_site_type_symbol
_atom_site_fract_x
_atom_site_fract_y
_atom_site_fract_z
Ce1 Ce 0.000 0.000 0.000
Th1 Th 0.000 0.500 0.724
Ge1 Ge 0.000 0.500 0.376
Ge2 Ge 0.500 0.500 0.000
Ir1 Ir 0.000 0.000 0.500
Ir2 Ir 0.000 0.500 0.157
Ir3 Ir 0.500 0.500 0.500
```

(3)
Density functional theory data (PBE) for CeThGeIr after structural relaxation.

Properties
E (eV for the cell shown): -58.038
ΔE_f (kJ per mole of atoms): -53

Geometry as CIF:
```
data_CeThGeIr
_symmetry_space_group_name_H-M 'P 4/n m m'
_symmetry_Int_Tables_number 129
_cell_length_a 4.093
_cell_length_b 4.093
_cell_length_c 11.102
_cell_angle_alpha 90.00
_cell_angle_beta 90.00
_cell_angle_gamma 90.00
loop_
_symmetry_equiv_pos_as_xyz
'x,y,z'
'-x,-y,-z'
'-y+1/2,x,z'
'y+1/2,-x,-z'
'-x+1/2,-y+1/2,z'
'x+1/2,y+1/2,-z'
'y,-x+1/2,z'
'-y,x+1/2,-z'
'x+1/2,-y,-z'
'-x+1/2,y,z'
'-y,-x,-z'
'y,x,z'
'-x,y+1/2,-z'
'x,-y+1/2,z'
'y+1/2,x+1/2,-z'
'-y+1/2,-x+1/2,z'
loop_
_atom_site_label
_atom_site_type_symbol
_atom_site_fract_x
_atom_site_fract_y
_atom_site_fract_z
Ce1 Ce 0.250 0.750 0.000
Th1 Th 0.250 0.250 0.282
Ge1 Ge 0.250 0.250 0.550
Ir1 Ir 0.250 0.250 0.779
```

(4)
Density functional theory data (PBE) for Ce2TiGe3Ir4 after structural relaxation.

Properties
E (eV for the cell shown): -77.184
ΔE_f (kJ per mole of atoms): -78

Geometry as CIF:
```
data_Ce2TiGe3Ir4
_symmetry_space_group_name_H-M 'P -4 m 2'
_symmetry_Int_Tables_number 115
_symmetry_space_group_name_Hall 'P -4 -2'
_cell_length_a 4.158
_cell_length_b 4.158
_cell_length_c 10.712
_cell_angle_alpha 90.00
_cell_angle_beta 90.00
_cell_angle_gamma 90.00
loop_
_atom_site_label
_atom_site_type_symbol
_atom_site_fract_x
_atom_site_fract_y
_atom_site_fract_z
Ce1 Ce 0.000 0.500 0.245
Ti1 Ti 0.000 0.000 0.500
Ge1 Ge 0.000 0.500 0.871
Ge2 Ge 0.500 0.500 0.500
Ir1 Ir 0.000 0.000 0.000
Ir2 Ir 0.000 0.500 0.640
Ir3 Ir 0.500 0.500 0.000
```

(5)
Density functional theory data (PBE) for Ce2TiGe4Ir3 after structural relaxation.

Properties
E (eV for the cell shown): -72.392
ΔE_f (kJ per mole of atoms): -73

Geometry as CIF:
```
data_Ce2TiGe4Ir3
_symmetry_space_group_name_H-M 'P -4 m 2'
_symmetry_Int_Tables_number 115
_symmetry_space_group_name_Hall 'P -4 -2'
_cell_length_a 4.191
_cell_length_b 4.191
_cell_length_c 10.692
_cell_angle_alpha 90.00
_cell_angle_beta 90.00
_cell_angle_gamma 90.00
loop_
_atom_site_label
_atom_site_type_symbol
_atom_site_fract_x
_atom_site_fract_y
_atom_site_fract_z
Ce1 Ce 0.000 0.500 0.240
Ti1 Ti 0.000 0.000 0.500
Ge1 Ge 0.000 0.000 0.000
Ge2 Ge 0.000 0.500 0.642
Ge3 Ge 0.500 0.500 0.000
Ir1 Ir 0.000 0.500 0.873
Ir2 Ir 0.500 0.500 0.500
```

(6)
Density functional theory data (PBE) for Ce2VGe4Ir3 after structural relaxation.

Properties
E (eV for the cell shown): -72.800
ΔE_f (kJ per mole of atoms): -65

Geometry as CIF:
```
data_Ce2VGe4Ir3
_symmetry_space_group_name_H-M 'P -4 m 2'
_symmetry_Int_Tables_number 115
_symmetry_space_group_name_Hall 'P -4 -2'
_cell_length_a 4.235
_cell_length_b 4.235
_cell_length_c 10.353
_cell_angle_alpha 90.00
_cell_angle_beta 90.00
_cell_angle_gamma 90.00
loop_
_atom_site_label
_atom_site_type_symbol
_atom_site_fract_x
_atom_site_fract_y
_atom_site_fract_z
Ce1 Ce 0.000 0.500 0.246
V1 V 0.000 0.000 0.500
Ge1 Ge 0.000 0.000 0.000
Ge2 Ge 0.000 0.500 0.635
Ge3 Ge 0.500 0.500 0.000
Ir1 Ir 0.000 0.500 0.873
Ir2 Ir 0.500 0.500 0.500
```

(7)
Density functional theory data (PBE) for Ce2ZnGe2Ir5 after structural relaxation.

Properties
E (eV for the cell shown): -142.637
ΔE_f (kJ per mole of atoms): -45

Geometry as CIF:
```
data_Ce2ZnGe2Ir5
_symmetry_space_group_name_H-M 'P 4/m b m'
_symmetry_Int_Tables_number 127
_symmetry_space_group_name_Hall '-P 4 2ab'
_cell_length_a 9.765
_cell_length_b 9.765
_cell_length_c 3.675
_cell_angle_alpha 90.00
_cell_angle_beta 90.00
_cell_angle_gamma 90.00
loop_
_atom_site_label
_atom_site_type_symbol
_atom_site_fract_x
_atom_site_fract_y
_atom_site_fract_z
Ce1 Ce 0.175 0.325 0.000
Zn1 Zn 0.000 0.000 0.000
Ge1 Ge 0.126 0.626 0.000
Ir1 Ir 0.000 0.500 0.500
Ir2 Ir 0.061 0.794 0.500
```

(8)
Density functional theory data (PBE) for Ce2ZnGe3Ir4 after structural relaxation.

Properties
E (eV for the cell shown): -69.664
ΔE_f (kJ per mole of atoms): -70

Geometry as CIF:
```
data_Ce2ZnGe3Ir4
_symmetry_space_group_name_H-M 'P -4 m 2'
_symmetry_Int_Tables_number 115
_symmetry_space_group_name_Hall 'P -4 -2'
_cell_length_a 4.192
_cell_length_b 4.192
_cell_length_c 10.456
_cell_angle_alpha 90.00
_cell_angle_beta 90.00
_cell_angle_gamma 90.00
loop_
_atom_site_label
_atom_site_type_symbol
_atom_site_fract_x
_atom_site_fract_y
_atom_site_fract_z
Ce1 Ce 0.000 0.500 0.244
Zn1 Zn 0.500 0.500 0.000
Ge1 Ge 0.000 0.000 0.000
Ge2 Ge 0.000 0.500 0.629
Ir1 Ir 0.000 0.000 0.500
Ir2 Ir 0.000 0.500 0.862
Ir3 Ir 0.500 0.500 0.500
```